1.
PrMgSc: optimized geometry, PBE.

## Properties
E_form   18 kJ/mol of formula units
DFT total energy   -12.52 eV for the cell shown

a b c (Å): 5.3698 5.3698 3.3697
angles (deg): 90.00 90.00 120.00
Space group P3m1 (No. 156)
One atom of each set of equivalent atoms:
Pr1 0.0000 0.0000 0.0000 (multiplicity 1)
Mg1 0.3333 0.6667 0.6006 (multiplicity 1)
Sc1 0.6667 0.3333 0.4503 (multiplicity 1)

2.
Pr12Mg3Sc: optimized geometry, PBE.

## Properties
E_form   0 kJ/mol of formula units
DFT total energy   -68.47 eV for the cell shown

a b c (Å): 5.070 5.070 20.424
angles (deg): 90.00 90.00 90.00
Space group P4/mmm (No. 123)
One atom of each set of equivalent atoms:
Pr1 0.000 0.000 0.000 (multiplicity 1)
Pr2 0.000 0.000 0.250 (multiplicity 2)
Pr3 0.000 0.000 0.500 (multiplicity 1)
Pr4 0.000 0.500 0.124 (multiplicity 4)
Pr5 0.000 0.500 0.375 (multiplicity 4)
Mg1 0.500 0.500 0.252 (multiplicity 2)
Mg2 0.500 0.500 0.500 (multiplicity 1)
Sc1 0.500 0.500 0.000 (multiplicity 1)

3.
Pr6MgSc: optimized geometry, PBE.

## Properties
E_form   17 kJ/mol of formula units
DFT total energy   -36.43 eV for the cell shown

a b c (Å): 6.130 6.263 7.323
angles (deg): 106.97 90.08 101.21
Space group P-1 (No. 2)
One atom of each set of equivalent atoms:
Pr1 0.002 0.000 0.248 (multiplicity 2)
Pr2 0.255 0.518 0.129 (multiplicity 2)
Pr3 0.258 0.520 0.631 (multiplicity 2)
Mg1 0.500 0.000 0.500 (multiplicity 1)
Sc1 0.500 0.000 0.000 (multiplicity 1)

4.
Pr2Mg5Sc: optimized geometry, PBE.

## Properties
E_form   -44 kJ/mol of formula units
DFT total energy   -48.64 eV for the cell shown

a b c (Å): 5.139 5.139 15.977
angles (deg): 90.00 90.00 90.00
Space group I4/mmm (No. 139)
One atom of each set of equivalent atoms:
Pr1 0.000 0.000 0.242 (multiplicity 4)
Mg1 0.000 0.000 0.000 (multiplicity 2)
Mg2 0.000 0.500 0.109 (multiplicity 8)
Sc1 0.000 0.000 0.500 (multiplicity 2)